Compound: NdSm2Tm6
Source: Alexandria via LeMat-Bulk
Functional: PBE
Structure: optimized geometry

formation energy = 206 kJ/mol of formula units
total magnetization = 0.001 μB/f.u.

Cell lengths 6.031, 7.404, 7.404 Å; angles 60.01, 90.00, 90.00 degrees
Positions (direct):
Nd 0.000 0.000 0.000
Sm 0.790 0.667 0.667
Sm 0.210 0.333 0.333
Tm 0.300 0.374 0.813
Tm 0.300 0.813 0.813
Tm 0.300 0.813 0.374
Tm 0.700 0.626 0.187
Tm 0.700 0.187 0.187
Tm 0.700 0.187 0.626